Record 1
Entry from Alexandria: an optimized crystal structure of GdBe2 (PBE).

Summary:
Its crystal system is cubic.

abc: 7.1510 7.1510 7.1510
angles: 90.00 90.00 90.00
Last column: nearest neighbours and their distance in Å.
Space group Fd-3m (No. 227, origin choice 2)
Inequivalent atoms, fractional coordinates:
Gd  0.1250  0.1250  0.1250 (multiplicity 8)  12 Be 2.96, 4 Gd 3.10
Be  0.0000  0.0000  0.5000 (multiplicity 16)  6 Be 2.53

Record 2
Entry from Alexandria: an optimized crystal structure of GdBeGe (PBE).

Summary:
Its crystal system is hexagonal.

abc: 3.9480 3.9480 4.1234
angles: 90.00 90.00 120.00
Last column: nearest neighbours and their distance in Å.
Space group P-6m2 (No. 187)
Inequivalent atoms, fractional coordinates:
Gd  0.0000  0.0000  0.0000 (multiplicity 1)  6 Be 3.07, 6 Ge 3.07
Be  0.3333  0.6667  0.5000 (multiplicity 1)  3 Ge 2.28
Ge  0.6667  0.3333  0.5000 (multiplicity 1)  3 Be 2.28

Record 3
Entry from Alexandria: an optimized crystal structure of Gd2Be2GeO7 (PBE).

Summary:
Its crystal system is tetragonal. The formation energy without anion corrections comes out at -3295 kJ/mol of formula units.

abc: 7.5237 7.5237 4.8663
angles: 90.00 90.00 90.00
Last column: nearest neighbours and their distance in Å.
Space group P-42_1m (No. 113)
Inequivalent atoms, fractional coordinates:
Gd  0.1588  0.3412  0.4957 (multiplicity 4)  6 O 2.31-2.49
Be  0.1345  0.6345  0.9551 (multiplicity 4)  4 O 1.58-1.71
Ge  0.0000  0.0000  0.0000 (multiplicity 2)  4 O 1.76
O  0.0000  0.5000  0.8195 (multiplicity 2)  2 Be 1.58
O  0.0805  0.8275  0.7887 (multiplicity 8)  1 Be 1.71, 1 Ge 1.76
O  0.1420  0.6420  0.2820 (multiplicity 4)  1 Be 1.59

Record 4
Entry from Alexandria: an optimized crystal structure of PmGdBeGe (PBE).

Summary:
Its crystal system is cubic.

abc: 7.0892 7.0892 7.0892
angles: 90.00 90.00 90.00
Last column: nearest neighbours and their distance in Å.
Space group F-43m (No. 216)
Inequivalent atoms, fractional coordinates:
Pm  0.0000  0.0000  0.0000 (multiplicity 4)  4 Ge 3.07, 4 Be 3.07
Gd  0.0000  0.0000  0.5000 (multiplicity 4)  4 Ge 3.07, 4 Be 3.07
Be  0.2500  0.2500  0.2500 (multiplicity 4)  4 Gd 3.07, 4 Pm 3.07
Ge  0.2500  0.2500  0.7500 (multiplicity 4)  4 Gd 3.07, 4 Pm 3.07

Record 5
Entry from Alexandria: an optimized crystal structure of GdBeH (PBE).

Summary:
Its crystal system is orthorhombic.

abc: 3.1464 16.8927 3.2501
angles: 90.00 90.00 90.00
Last column: nearest neighbours and their distance in Å.
Space group Cmcm (No. 63)
Inequivalent atoms, fractional coordinates:
Gd  0.0000  0.0987  0.2500 (multiplicity 4)  4 H 2.34
Be  0.0000  0.2475  0.7500 (multiplicity 4)  4 Be 2.26
H  0.0000  0.4372  0.2500 (multiplicity 4)  4 Gd 2.34

Record 6
Entry from Alexandria: an optimized crystal structure of GdHfBe (PBE).

Summary:
Its crystal system is tetragonal.

abc: 3.2380 3.2380 11.8006
angles: 90.00 90.00 90.00
Last column: nearest neighbours and their distance in Å.
Space group I4mm (No. 107)
Inequivalent atoms, fractional coordinates:
Gd  0.0000  0.0000  0.0000 (multiplicity 2)  4 Be 3.03, 4 Gd 3.24, 4 Hf 3.38
Hf  0.0000  0.0000  0.2896 (multiplicity 2)  4 Be 2.70
Be  0.0000  0.0000  0.6684 (multiplicity 2)  4 Hf 2.70

Record 7
Entry from Alexandria: an optimized crystal structure of Gd2BeHg (PBE).

Summary:
Its crystal system is cubic.

abc: 7.2789 7.2789 7.2789
angles: 90.00 90.00 90.00
Last column: nearest neighbours and their distance in Å.
Space group Fm-3m (No. 225)
Inequivalent atoms, fractional coordinates:
Gd  0.2500  0.2500  0.2500 (multiplicity 8)  4 Hg 3.15, 4 Be 3.15
Be  0.0000  0.0000  0.0000 (multiplicity 4)  8 Gd 3.15
Hg  0.0000  0.0000  0.5000 (multiplicity 4)  8 Gd 3.15

Record 8
Entry from Alexandria: an optimized crystal structure of Gd2BeHg (PBE).

Summary:
Its crystal system is tetragonal.

abc: 3.5358 3.5358 7.4959
angles: 90.00 90.00 90.00
Last column: nearest neighbours and their distance in Å.
Space group P4/mmm (No. 123)
Inequivalent atoms, fractional coordinates:
Gd  0.0000  0.0000  0.2209 (multiplicity 2)  4 Be 3.00, 4 Hg 3.26, 1 Gd 3.31
Be  0.5000  0.5000  0.0000 (multiplicity 1)  8 Gd 3.00
Hg  0.5000  0.5000  0.5000 (multiplicity 1)  8 Gd 3.26, 4 Hg 3.54

The total DFT energy (no corrections) results, record by record, are as follows: -7.07 -8.13 -9.09 -7.06 -6.99 -9.12 -8.17 -8.24 eV per atom.
The M_tot results, record by record, are as follows: 56.340 7.266 27.895 28.036 31.290 14.350 58.887 14.532 Bohr magnetons per cell.
The DOS(E_F) results, record by record, are as follows: 0.481 0.446 0.000 0.381 0.557 0.836 1.098 0.628 states/eV/atom.